Density functional theory data (PBE) for a relaxed V7Ni12Ru crystal.

Output
As for the electronic total energy: -429.737 eV/cell.

abc: 8.8271 8.8271 10.8144
angles: 90.00 90.00 120.00
Space group R-3 (No. 148, hexagonal axes)
Inequivalent atoms, fractional coordinates:
V  0.0000  0.0000  0.0000
V  0.0402  0.8507  0.3037
Ni  0.0226  0.5745  0.2015
Ni  0.0626  0.4742  0.5877
Ru  0.0000  0.0000  0.5000